Entry 1:
Density functional theory data (GGA-PBE) for an optimized crystal structure of Ac3Ag4HgO8.

Values from the calculation:
electronic total energy = -5.4386 eV/atom
space group = C2/m

```
data_Ac3Ag4HgO8
_cell_length_a 7.271
_cell_length_b 6.707
_cell_length_c 7.957
_cell_angle_alpha 122.75
_cell_angle_beta 117.19
_cell_angle_gamma 90.00
_symmetry_space_group_name_H-M 'P 1'
_symmetry_Int_Tables_number 1
loop_
_symmetry_equiv_pos_as_xyz
'x,y,z'
loop_
_atom_site_label
_atom_site_fract_x
_atom_site_fract_y
_atom_site_fract_z
Ac1 0.500 0.500 0.000
Ac2 0.500 0.500 0.500
Ac3 0.000 0.500 0.500
Ag1 0.500 0.000 0.000
Ag2 0.500 0.000 0.500
Ag3 0.000 0.000 0.000
Ag4 0.000 0.000 0.500
Hg1 0.000 0.500 0.000
O1 0.192 0.695 0.938
O2 0.311 0.815 0.621
O3 0.277 0.273 0.553
O4 0.746 0.695 0.938
O5 0.254 0.305 0.062
O6 0.723 0.727 0.447
O7 0.689 0.185 0.379
O8 0.808 0.305 0.062
```

---

Entry 2:
Density functional theory data (GGA-PBE) for an optimized crystal structure of La2InNi.

Values from the calculation:
electronic total energy = -4.6794 eV/atom
space group = F-43m
energy of formation = -0.0857 eV per atom

```
data_La2InNi
_cell_length_a 5.148
_cell_length_b 5.148
_cell_length_c 5.148
_cell_angle_alpha 60.00
_cell_angle_beta 60.00
_cell_angle_gamma 60.00
_symmetry_space_group_name_H-M 'P 1'
_symmetry_Int_Tables_number 1
loop_
_symmetry_equiv_pos_as_xyz
'x,y,z'
loop_
_atom_site_label
_atom_site_fract_x
_atom_site_fract_y
_atom_site_fract_z
In1 0.500 0.500 0.500
La1 0.000 0.000 0.000
La2 0.250 0.250 0.250
Ni1 0.750 0.750 0.750
```

---

Entry 3:
Density functional theory data (GGA-PBE) for an optimized crystal structure of NdAlZn3.

Values from the calculation:
electronic total energy = -2.4238 eV/atom
space group = Cmmm
energy of formation = 0.0427 eV per atom
energy above the lowest structure with this stoichiometry = 0.4008 eV/atom

```
data_NdAlZn3
_cell_length_a 4.716
_cell_length_b 5.967
_cell_length_c 7.837
_cell_angle_alpha 90.00
_cell_angle_beta 90.00
_cell_angle_gamma 90.00
_symmetry_space_group_name_H-M 'P 1'
_symmetry_Int_Tables_number 1
loop_
_symmetry_equiv_pos_as_xyz
'x,y,z'
loop_
_atom_site_label
_atom_site_fract_x
_atom_site_fract_y
_atom_site_fract_z
Nd1 0.500 0.000 0.000
Nd2 0.500 0.500 0.500
Al1 0.000 0.500 0.000
Al2 0.000 0.000 0.500
Zn1 0.500 0.500 0.000
Zn2 0.500 0.000 0.500
Zn3 0.000 0.750 0.250
Zn4 0.000 0.250 0.250
Zn5 0.000 0.250 0.750
Zn6 0.000 0.750 0.750
```

---

Entry 4:
Density functional theory data (GGA-PBE) for an optimized crystal structure of Rb3PaTi2Se6.

Values from the calculation:
electronic total energy = -5.3154 eV/atom
space group = C2/m

```
data_Rb3PaTi2Se6
_cell_length_a 6.941
_cell_length_b 6.941
_cell_length_c 8.348
_cell_angle_alpha 97.92
_cell_angle_beta 97.92
_cell_angle_gamma 120.32
_symmetry_space_group_name_H-M 'P 1'
_symmetry_Int_Tables_number 1
loop_
_symmetry_equiv_pos_as_xyz
'x,y,z'
loop_
_atom_site_label
_atom_site_fract_x
_atom_site_fract_y
_atom_site_fract_z
Rb1 0.163 0.837 0.500
Rb2 0.837 0.163 0.500
Rb3 0.500 0.500 0.500
Pa1 0.000 0.000 0.000
Ti1 0.325 0.675 0.000
Ti2 0.675 0.325 0.000
Se1 0.934 0.588 0.809
Se2 0.711 0.711 0.182
Se3 0.066 0.412 0.191
Se4 0.588 0.934 0.809
Se5 0.289 0.289 0.818
Se6 0.412 0.066 0.191
```

---

Entry 5:
Density functional theory data (GGA-PBE) for an optimized crystal structure of PmSm2AlO.

Values from the calculation:
electronic total energy = -5.9201 eV/atom
space group = P4/mmm

```
data_PmSm2AlO
_cell_length_a 4.891
_cell_length_b 4.855
_cell_length_c 4.855
_cell_angle_alpha 90.00
_cell_angle_beta 90.00
_cell_angle_gamma 90.00
_symmetry_space_group_name_H-M 'P 1'
_symmetry_Int_Tables_number 1
loop_
_symmetry_equiv_pos_as_xyz
'x,y,z'
loop_
_atom_site_label
_atom_site_fract_x
_atom_site_fract_y
_atom_site_fract_z
Pm1 0.500 0.000 0.000
Sm1 0.000 0.000 0.500
Sm2 0.000 0.500 0.000
Al1 0.500 0.500 0.500
O1 0.000 0.000 0.000
```

---

Entry 6:
Density functional theory data (GGA-PBE) for an optimized crystal structure of TeOs2W.

Values from the calculation:
electronic total energy = -8.9489 eV/atom
space group = Pm

```
data_TeOs2W
_cell_length_a 4.102
_cell_length_b 2.907
_cell_length_c 5.857
_cell_angle_alpha 75.54
_cell_angle_beta 90.00
_cell_angle_gamma 90.00
_symmetry_space_group_name_H-M 'P 1'
_symmetry_Int_Tables_number 1
loop_
_symmetry_equiv_pos_as_xyz
'x,y,z'
loop_
_atom_site_label
_atom_site_fract_x
_atom_site_fract_y
_atom_site_fract_z
Os1 0.000 0.068 0.990
Os2 0.500 0.452 0.218
Te1 0.000 0.305 0.518
W1 0.500 0.675 0.774
```

---

Entry 7:
Density functional theory data (GGA-PBE) for an optimized crystal structure of DyHoEr2Tm5.

Values from the calculation:
electronic total energy = -4.3563 eV/atom
space group = Cmc2_1
energy of formation = 0.1619 eV per atom

```
data_DyHoEr2Tm5
_cell_length_a 5.509
_cell_length_b 10.137
_cell_length_c 10.436
_cell_angle_alpha 90.00
_cell_angle_beta 90.00
_cell_angle_gamma 105.77
_symmetry_space_group_name_H-M 'P 1'
_symmetry_Int_Tables_number 1
loop_
_symmetry_equiv_pos_as_xyz
'x,y,z'
loop_
_atom_site_label
_atom_site_fract_x
_atom_site_fract_y
_atom_site_fract_z
Dy1 0.586 0.172 0.955
Dy2 0.414 0.828 0.455
Ho1 0.800 0.599 0.511
Ho2 0.200 0.401 0.011
Er1 0.887 0.774 0.819
Er2 0.110 0.220 0.737
Er3 0.113 0.226 0.319
Er4 0.890 0.780 0.237
Tm1 0.390 0.780 0.022
Tm2 0.718 0.437 0.808
Tm3 0.479 0.958 0.737
Tm4 0.300 0.600 0.709
Tm5 0.981 0.963 0.525
Tm6 0.610 0.220 0.522
Tm7 0.282 0.563 0.308
Tm8 0.521 0.042 0.237
Tm9 0.700 0.400 0.209
Tm10 0.019 0.037 0.025
```

---

Entry 8:
Density functional theory data (GGA-PBE) for an optimized crystal structure of K2AgBr.

Values from the calculation:
electronic total energy = -2.4720 eV/atom
space group = C2/m
energy above the lowest structure with this stoichiometry = 0.0000 eV/atom

```
data_K2AgBr
_cell_length_a 4.780
_cell_length_b 4.780
_cell_length_c 8.561
_cell_angle_alpha 73.92
_cell_angle_beta 73.92
_cell_angle_gamma 59.79
_symmetry_space_group_name_H-M 'P 1'
_symmetry_Int_Tables_number 1
loop_
_symmetry_equiv_pos_as_xyz
'x,y,z'
loop_
_atom_site_label
_atom_site_fract_x
_atom_site_fract_y
_atom_site_fract_z
K1 0.006 0.006 0.985
K2 0.494 0.494 0.515
Br1 0.750 0.750 0.750
Ag1 0.250 0.250 0.250
```

---

> Among the records above, which one has the lowest electronic total energy?

TeOs2W

---

Repeat the third record exactly.
Density functional theory data (GGA-PBE) for an optimized crystal structure of NdAlZn3.

Values from the calculation:
electronic total energy = -2.4238 eV/atom
space group = Cmmm
energy of formation = 0.0427 eV per atom
energy above the lowest structure with this stoichiometry = 0.4008 eV/atom

```
data_NdAlZn3
_cell_length_a 4.716
_cell_length_b 5.967
_cell_length_c 7.837
_cell_angle_alpha 90.00
_cell_angle_beta 90.00
_cell_angle_gamma 90.00
_symmetry_space_group_name_H-M 'P 1'
_symmetry_Int_Tables_number 1
loop_
_symmetry_equiv_pos_as_xyz
'x,y,z'
loop_
_atom_site_label
_atom_site_fract_x
_atom_site_fract_y
_atom_site_fract_z
Nd1 0.500 0.000 0.000
Nd2 0.500 0.500 0.500
Al1 0.000 0.500 0.000
Al2 0.000 0.000 0.500
Zn1 0.500 0.500 0.000
Zn2 0.500 0.000 0.500
Zn3 0.000 0.750 0.250
Zn4 0.000 0.250 0.250
Zn5 0.000 0.250 0.750
Zn6 0.000 0.750 0.750
```